{
  "formula": "Li2BeRu",
  "functional": "meta-GGA SCAN",
  "state": "PBEsol geometry",
  "total_energy_ev_per_atom": -10.881,
  "cell": [[2.3117, -4.2765, 0.0000], [2.3117, 4.2765, 0.0000], [0.0000, 0.0000, 2.4178]],
  "species": ["Li", "Li", "Be", "Ru"],
  "fractional_positions": [[0.0000, 0.5000, 0.0000], [0.5000, 0.0000, 0.0000], [0.0000, 0.0000, 0.5000], [0.5000, 0.5000, 0.5000]]
}



{
  "formula": "Ca3AgOs",
  "functional": "meta-GGA SCAN",
  "state": "PBEsol geometry",
  "total_energy_ev_per_atom": -25.501,
  "cell": [[5.3335, 0.0000, 0.0000], [0.0000, 5.3335, 0.0000], [0.0000, 0.0000, 5.3335]],
  "species": ["Ca", "Ca", "Ca", "Ag", "Os"],
  "fractional_positions": [[0.0000, 0.0000, 0.5000], [0.0000, 0.5000, 0.0000], [0.5000, 0.0000, 0.0000], [0.0000, 0.0000, 0.0000], [0.5000, 0.5000, 0.5000]]
}